Record 1
GGA-PBE Dy3Cd2Rh, optimized geometry; D(E_F) = 0.524 states/eV per atom; E = -0.1594 hartree per atom; space-group type = P2/m; ΔH_f (0 K) = -49 kJ/mol of atoms
1.0
5.0717 0.0030 0.0211
2.5402 7.5996 0.0106
-0.0310 0.0000 7.4753
Dy Cd Rh
6 4 2
Cartesian
2.5121 0.0015 5.7314
2.5319 4.9545 1.6869
5.0660 2.6480 1.6975
5.0489 2.6480 5.8201
2.5285 0.0015 1.7650
2.5148 4.9545 5.8095
0.0000 0.0000 0.0000
-0.0155 0.0000 3.7376
2.5185 2.5080 3.7482
5.0623 5.0945 3.7588
2.5359 2.3971 0.0106
5.0759 5.2054 0.0211

---

Record 2
GGA-PBE Dy2CdRh, optimized geometry; D(E_F) = 0.304 states/eV per atom; E = -0.1788 hartree per atom; space-group type = R-3m; ΔH_f (0 K) = -48 kJ/mol of atoms
1.0
-1.5967 -2.2410 -2.7623
2.2626 -1.6909 -2.6876
1.0460 -7.7354 2.9191
Dy Cd Rh
2 1 1
Cartesian
0.3849 -2.5806 -0.8805
1.3271 -9.0866 -1.6503
0.8560 -5.8336 -1.2654
0.0000 0.0000 0.0000

---

Record 3
GGA-PBE Dy2CdRh, optimized geometry; D(E_F) = 0.464 states/eV per atom; E = -0.1780 hartree per atom; space-group type = R3m; ΔH_f (0 K) = -46 kJ/mol of atoms
1.0
3.9793 0.0000 0.0000
1.9896 3.4462 0.0000
1.9896 1.1487 7.8010
Rh Dy Cd
1 2 1
Cartesian
3.9793 2.2974 0.0251
1.9896 1.1487 6.2769
1.9896 1.1487 1.5201
3.9793 2.2974 3.8794

---

Record 4
GGA-PBE Dy4CdRh3, optimized geometry; D(E_F) = 0.829 states/eV per atom; E = -0.2154 hartree per atom; space-group type = P4/mmm; ΔH_f (0 K) = -67 kJ/mol of atoms
1.0
4.8996 0.0000 0.0000
0.0000 7.1495 0.0000
0.0000 0.0000 9.8016
Dy Rh Cd
8 6 2
Cartesian
4.8994 5.4583 2.4504
0.0002 1.6911 7.3512
2.4498 5.4587 0.0000
0.0002 5.4583 7.3512
2.4498 1.6908 0.0000
4.8994 1.6911 2.4504
2.4498 1.6908 4.9008
2.4498 5.4587 4.9008
0.0000 0.0000 4.9008
2.4533 3.5747 7.3512
0.0000 0.0000 0.0000
2.4499 0.0000 2.4504
2.4498 0.0000 7.3512
2.4464 3.5747 2.4504
0.0000 3.5747 0.0000
0.0000 3.5747 4.9008

---

Record 5
GGA-PBE DyCd2Rh3, optimized geometry; D(E_F) = 0.493 states/eV per atom; E = -0.1899 hartree per atom; space-group type = P-3m1; ΔH_f (0 K) = -41 kJ/mol of atoms
1.0
4.6464 0.0000 0.0000
-2.3232 4.0239 0.0000
0.0000 0.0000 11.3809
Rh Cd Dy
6 4 2
Cartesian
2.3232 1.3413 6.6387
0.0000 2.6826 4.7421
0.0000 0.0000 8.5714
2.3232 1.3413 0.9366
0.0000 0.0000 2.8095
0.0000 2.6826 10.4443
0.0000 0.0000 5.6904
0.0000 2.6826 1.8526
2.3232 1.3413 9.5283
0.0000 0.0000 0.0000
0.0000 2.6826 7.6152
2.3232 1.3413 3.7656

---

Record 6
GGA-PBE Dy3CdRh, optimized geometry; D(E_F) = 1.091 states/eV per atom; E = -0.1785 hartree per atom; space-group type = C2/m; ΔH_f (0 K) = -43 kJ/mol of atoms
1.0
3.9147 0.0000 1.0932
1.5206 7.6551 2.1107
-0.3844 0.2152 8.9321
Dy Rh Cd
6 2 2
Cartesian
1.0983 3.4162 3.6227
3.9525 4.4541 8.5133
1.5916 1.9661 9.4118
1.8551 7.5198 8.4681
3.1957 0.3505 3.6679
3.4592 5.9041 2.7242
3.5455 2.8929 2.4154
1.5054 4.9774 9.7206
2.6002 5.5795 5.8002
2.4506 2.2908 6.3358

---

Record 7
GGA-PBE Dy7Cd2Rh2, optimized geometry; D(E_F) = 0.959 states/eV per atom; E = -0.1759 hartree per atom; space-group type = Cmmm; ΔH_f (0 K) = -34 kJ/mol of atoms
1.0
-4.1344 5.3060 -0.7188
-3.8549 -2.2480 5.5783
4.9843 1.8419 4.1866
Dy Rh Cd
7 2 2
Cartesian
-4.5278 4.5440 5.5505
0.0000 0.0000 0.0000
1.5228 0.3559 3.4956
-0.5189 3.0238 3.0992
-4.9527 0.9701 3.8167
-2.4861 1.8761 5.9470
1.9478 3.9298 5.2295
-1.5058 0.5950 8.3473
-1.4992 4.3049 0.6988
-1.7775 0.1367 3.4008
-1.2274 4.7632 5.6453

---

Record 8
GGA-PBE Dy2Cd2Rh, optimized geometry; D(E_F) = 0.591 states/eV per atom; E = -0.1540 hartree per atom; space-group type = I4/mmm; ΔH_f (0 K) = -50 kJ/mol of atoms
1.0
3.3754 0.0000 -0.5416
-0.0869 3.3743 -0.5416
-0.1017 -0.1044 10.1556
Dy Cd Rh
2 2 1
Cartesian
1.2785 1.3119 7.9685
1.9083 1.9581 1.1040
0.6236 0.6398 3.8863
2.5633 2.6301 5.1862
0.0000 0.0000 0.0000